A relaxed TlInI2O crystal, computed with PBE.

abc: 6.1650 6.1650 4.2381
angles: 90.00 90.00 90.00
Space group P4/mmm (No. 123)
Asymmetric unit:
Tl: 0.0000 0.0000 0.0000 (multiplicity 1)
In: 0.5000 0.5000 0.5000 (multiplicity 1)
I: 0.0000 0.5000 0.0000 (multiplicity 2)
O: 0.0000 0.0000 0.5000 (multiplicity 1)

Calculated values
As for the crystal system: tetragonal. As for the energy relative to the elements, uncorrected: -0.241 eV per atom. The calculation puts the energy above the most stable polymorph in this dataset at 0.3914 eV/atom.


A relaxed Sm5YHo3 crystal, computed with PBE.

abc: 16.3650 6.7404 11.5522
angles: 90.00 110.12 90.00
Space group C2/c (No. 15)
Asymmetric unit:
Sm: 0.0000 0.1881 0.2500 (multiplicity 4)
Sm: 0.1105 0.0022 0.5504 (multiplicity 8)
Sm: 0.1723 0.4082 0.3475 (multiplicity 8)
Y: 0.0000 0.2610 0.7500 (multiplicity 4)
Ho: 0.0000 0.5000 0.0000 (multiplicity 4)
Ho: 0.2394 0.0996 0.8721 (multiplicity 8)

Calculated values
The calculation puts the energy of formation from the pure elements at 0.1784 eV/atom. As for the crystal system: monoclinic. The calculation puts the energy above the most stable polymorph in this dataset at 0.0000 eV/atom.


A relaxed La2TaZnO crystal, computed with PBE.

abc: 5.6464 5.6464 4.7335
angles: 90.00 90.00 90.00
Space group P4/mmm (No. 123)
Asymmetric unit:
La: 0.0000 0.5000 0.0000 (multiplicity 2)
Ta: 0.0000 0.0000 0.5000 (multiplicity 1)
Zn: 0.0000 0.0000 0.0000 (multiplicity 1)
O: 0.5000 0.5000 0.5000 (multiplicity 1)

Calculated values
As for the crystal system: tetragonal. As for the energy relative to the elements, uncorrected: 0.767 eV per atom.


A relaxed DyHo crystal, computed with PBE.

abc: 3.5927 3.5927 5.6175
angles: 90.00 90.00 120.00
Space group P-6m2 (No. 187)
Asymmetric unit:
Dy: 0.0000 0.0000 0.0000 (multiplicity 1)
Ho: 0.6667 0.3333 0.5000 (multiplicity 1)

Calculated values
The calculation puts the energy of formation from the pure elements at 0.0079 eV/atom. As for the crystal system: hexagonal. The calculation puts the energy above the most stable polymorph in this dataset at 0.0032 eV/atom.


- What is the formula in the third record?
  La2TaZnO


- Number 3 is which compound?
  La2TaZnO